First-principles (PBE) data for an optimized crystal structure of ScMo2Os, as listed in Alexandria via LeMat-Bulk.

Cell lengths 2.8322, 4.4336, 5.2453 Å; angles 90.00, 90.00, 90.00 degrees
Last column: nearest neighbours and their distance in Å.
Atoms (fractional coordinates):
Sc1 0.0000 0.0000 0.0000  2 Os 2.62, 2 Sc 2.83
Mo1 0.5000 0.5000 0.2539  4 Mo 2.58-2.83
Mo2 0.5000 0.5000 0.7461  4 Mo 2.58-2.83
Os1 0.0000 0.0000 0.5000  2 Sc 2.62, 2 Os 2.83, 8 Mo 2.93

Its formation enthalpy at 0 K is 187.2 meV per atom. As for the space group: Pmmm. The polymorph energy (0 for the lowest one) is 301 meV per atom. The total magnetization is 0.00 μB per cell. Its crystal system is orthorhombic. As for the density of states at the Fermi level: 0.825 states/eV per atom.